No. 1
NaTbInAu (PBE, relaxed); energy of formation = -0.39 eV per atom; energy = -0.2483 Ry/atom; space-group type = F-43m; crystal system = cubic
1.0
-3.9399 2.3062 -2.3356
-3.6966 -2.8134 -2.1716
-4.6744 -0.1547 2.1029
Au Na In Tb
1 1 1 1
direct
0.0000 0.0000 0.0000
0.2500 0.2500 0.2500
0.5000 0.5000 0.5000
0.7500 0.7500 0.7500

***

No. 2
YCo3Bi (PBE, relaxed); excess energy over the best structure of this formula in the dataset = 0.0000 eV per atom; energy of formation = 0.85 eV per atom; energy = -0.4032 Ry/atom; space-group type = Pm-3m; crystal system = cubic
1.0
-0.4355 -3.7730 2.8728
-2.4569 -2.2880 -3.3774
4.0562 -1.7909 -1.7373
Bi Co Y
1 3 1
direct
0.0000 0.0000 0.0000
0.0000 0.0000 0.5000
0.0000 0.5000 0.0000
0.5000 0.0000 0.0000
0.5000 0.5000 0.5000

***

No. 3
SiNi6Ir (PBE, relaxed); excess energy over the best structure of this formula in the dataset = 0.0992 eV per atom; energy = -0.4559 Ry/atom; space-group type = P-1; crystal system = triclinic
1.0
-1.8168 6.1551 1.4250
-6.3762 1.5066 0.4528
-2.6941 1.9929 3.0609
Ir Ni Si
1 6 1
direct
0.5000 0.5000 0.5000
0.5555 0.9784 0.2152
0.2511 0.5514 0.2179
0.9779 0.2510 0.2182
0.0221 0.7490 0.7818
0.7489 0.4486 0.7821
0.4445 0.0216 0.7848
0.0000 0.0000 0.0000

***

No. 4
ZrAs2Br (PBE, relaxed); excess energy over the best structure of this formula in the dataset = 0.4976 eV per atom; energy = -0.3678 Ry/atom; space-group type = Pmmm; crystal system = orthorhombic
1.0
3.9327 0.0000 0.0000
0.0000 3.9172 0.0000
0.0000 0.0000 5.3688
Zr Br As
1 1 2
direct
0.0000 0.5000 0.5000
0.5000 0.0000 0.5000
0.5000 0.5000 0.0000
0.0000 0.0000 0.0000

***

No. 5
Cs2PmAlS4 (PBE, relaxed); energy = -0.3353 Ry/atom; space-group type = C2/c; crystal system = monoclinic
1.0
8.0965 -0.2228 0.8519
-0.2285 8.0963 0.8519
-3.1923 -3.1946 7.0766
Pm S Cs Al
2 8 4 2
direct
0.0000 0.5000 0.0000
0.0000 0.5000 0.5000
0.6867 0.6533 0.4288
0.2383 0.6293 0.3477
0.1533 0.1867 0.9288
0.8707 0.2617 0.1523
0.3133 0.3467 0.5712
0.7617 0.3707 0.6523
0.8467 0.8133 0.0712
0.1293 0.7383 0.8477
0.5000 0.0000 0.5000
0.0000 0.0000 0.5000
0.5000 0.0000 0.0000
0.5000 0.5000 0.0000
0.0000 0.0000 0.0000
0.5000 0.5000 0.5000

***

no.,mass density (g cm⁻³)
1,8.60
2,7.30
3,10.16
4,6.44
5,3.69